Compound: Li2HfNi
Source: OQMD
Functional: PBE
Structure: relaxed

Calculated volume, Å³/cell: 58.8
Electronic total energy, eV/atom: -4.767

abc: 4.364 4.364 4.364
angles: 60.00 60.00 60.00
Positions (direct):
Li 0.750 0.750 0.750
Li 0.000 0.000 0.000
Ni 0.250 0.250 0.250
Hf 0.500 0.500 0.500

Compound: LiHfNiP2
Source: OQMD
Functional: PBE
Structure: relaxed

Calculated volume, Å³/cell: 74.5
Electronic total energy, eV/atom: -6.509

abc: 3.737 3.737 6.158
angles: 90.00 90.00 120.00
Positions (direct):
P 0.333 0.667 0.245
P 0.667 0.333 0.747
Li 0.667 0.333 0.371
Hf 0.000 0.000 0.993
Ni 0.333 0.667 0.643

Compound: LiHfNiSb
Source: OQMD
Functional: PBE
Structure: relaxed

Calculated volume, Å³/cell: 68.1
Energy above the most stable polymorph in this dataset, meV per atom: 195.9

abc: 4.583 4.583 4.583
angles: 60.00 60.00 60.00
Positions (direct):
Hf 0.250 0.250 0.250
Sb 0.000 0.000 0.000
Ni 0.750 0.750 0.750
Li 0.500 0.500 0.500

Compound: LiHfNiSb
Source: OQMD
Functional: PBE
Structure: relaxed

Calculated volume, Å³/cell: 64.1
Energy above the most stable polymorph in this dataset, meV per atom: 0.0

abc: 4.492 4.492 4.492
angles: 60.00 60.00 60.00
Positions (direct):
Hf 0.500 0.500 0.500
Li 0.250 0.250 0.250
Ni 0.750 0.750 0.750
Sb 0.000 0.000 0.000

Compound: LiHfZnNi
Source: OQMD
Functional: PBE
Structure: relaxed

Calculated volume, Å³/cell: 57.1
Energy above the most stable polymorph in this dataset, meV per atom: 189.6

abc: 4.321 4.321 4.321
angles: 60.00 60.00 60.00
Positions (direct):
Zn 0.000 0.000 0.000
Ni 0.750 0.750 0.750
Hf 0.250 0.250 0.250
Li 0.500 0.500 0.500

Compound: LiHfZnNi
Source: OQMD
Functional: PBE
Structure: relaxed

Calculated volume, Å³/cell: 56.4
Energy above the most stable polymorph in this dataset, meV per atom: 0.0

abc: 4.304 4.304 4.304
angles: 60.00 60.00 60.00
Positions (direct):
Ni 0.750 0.750 0.750
Hf 0.500 0.500 0.500
Zn 0.000 0.000 0.000
Li 0.250 0.250 0.250

Compound: Li2Hf2O5
Source: OQMD
Functional: PBE
Structure: relaxed

Calculated volume, Å³/cell: 79.4
Energy above the most stable polymorph in this dataset, meV per atom: 562.0

abc: 6.378 3.529 3.529
angles: 90.00 90.00 90.00
Positions (direct):
O 0.797 0.000 0.500
O 0.203 0.500 0.000
O 0.500 0.500 0.500
O 0.797 0.500 0.000
O 0.203 0.000 0.500
Li 0.770 0.500 0.500
Li 0.230 0.500 0.500
Hf 0.000 0.000 0.000
Hf 0.500 0.000 0.000

Compound: Li3HfO4
Source: OQMD
Functional: PBE
Structure: relaxed

Calculated volume, Å³/cell: 76.0
Electronic total energy, eV/atom: -6.768

abc: 5.107 5.107 5.129
angles: 100.28 100.28 35.33
Site moments in Bohr magnetons follow the coordinates.
Positions (direct):
O 0.378 0.378 0.128  0.32
O 0.119 0.119 0.385  0.11
O 0.622 0.622 0.872  0.32
O 0.881 0.881 0.615  0.11
Li 0.000 0.000 0.000  0.00
Li 0.745 0.745 0.226  0.00
Li 0.255 0.255 0.774  0.00
Hf 0.500 0.500 0.500  -0.03

Compound: Li2Hf2O5
Source: OQMD
Functional: PBE
Structure: relaxed

Calculated volume, Å³/cell: 118.6
Energy above the most stable polymorph in this dataset, meV per atom: 106.4

abc: 7.736 3.916 3.916
angles: 90.00 90.00 90.00
Positions (direct):
O 0.186 0.000 0.500
O 0.814 0.500 0.000
O 0.186 0.500 0.000
O 0.500 0.500 0.500
O 0.814 0.000 0.500
Hf 0.244 0.500 0.500
Hf 0.756 0.500 0.500
Li 0.500 0.000 0.000
Li 0.000 0.000 0.000

Compound: LiHfO3
Source: OQMD
Functional: PBE
Structure: relaxed

Calculated volume, Å³/cell: 49.6
Electronic total energy, eV/atom: -7.521

abc: 3.234 3.234 4.746
angles: 90.00 90.00 90.00
Site moments in Bohr magnetons follow the coordinates.
Positions (direct):
O 0.000 0.500 0.678  0.10
O 0.500 0.500 0.112  0.01
O 0.500 0.000 0.678  0.10
Li 0.500 0.500 0.484  0.00
Hf 0.000 0.000 0.947  -0.01

Compound: Li2Hf2O5
Source: OQMD
Functional: PBE
Structure: relaxed

Calculated volume, Å³/cell: 265.1
Energy above the most stable polymorph in this dataset, meV per atom: 0.0

abc: 8.885 8.885 5.172
angles: 90.01 90.01 139.51
Positions (direct):
O 0.265 0.009 0.481
O 0.501 0.001 0.990
O 0.001 0.501 0.490
O 0.009 0.265 0.981
O 0.715 0.592 0.471
O 0.289 0.412 0.471
O 0.740 0.995 0.481
O 0.995 0.740 0.981
O 0.412 0.289 0.971
O 0.592 0.715 0.971
Li 0.695 0.598 0.100
Li 0.309 0.406 0.100
Li 0.598 0.695 0.600
Li 0.406 0.309 0.600
Hf 0.691 0.977 0.103
Hf 0.027 0.313 0.603
Hf 0.977 0.691 0.603
Hf 0.313 0.027 0.103

Compound: LiHfO3
Source: OQMD
Functional: PBE
Structure: relaxed

Calculated volume, Å³/cell: 114.7
Electronic total energy, eV/atom: -7.780

abc: 5.375 5.375 5.537
angles: 60.96 60.96 60.00
Site moments in Bohr magnetons follow the coordinates.
Positions (direct):
Hf 0.649 0.649 0.052  -0.04
Hf 0.351 0.351 0.948  -0.04
Li 0.864 0.864 0.409  0.00
Li 0.136 0.136 0.591  0.00
O 0.946 0.555 0.239  0.29
O 0.260 0.946 0.239  0.29
O 0.740 0.054 0.761  0.29
O 0.054 0.445 0.761  0.29
O 0.445 0.740 0.761  0.28
O 0.555 0.260 0.239  0.28